1.
Material: TiCrBr2
Method: DFT, GGA-PBEsol
State: relaxed

Summary:
total moment = 4.79 μB per cell
crystal system = trigonal
formation energy from raw total energies = -0.07 eV/atom
polymorph energy (0 for the lowest one) = 0.0000 eV per atom

abc: 3.312 3.312 9.018
angles: 79.42 79.42 60.00
Last column: magnetic moment on the atom in μB.
Atoms (fractional coordinates):
Br 0.900 0.900 0.301  0.00
Ti 0.500 0.500 0.500  0.10
Br 0.100 0.100 0.699  0.00
Cr 0.000 0.000 0.000  3.98

---

2.
Material: GaH3O3
Method: DFT, GGA-PBEsol
State: relaxed

Summary:
total moment = 0.00 μB per cell
crystal system = trigonal
E_tot = -5.53 eV per atom

abc: 6.357 6.421 6.421
angles: 70.33 70.73 109.27
Atoms (fractional coordinates):
H 0.304 0.964 0.731
O 0.313 0.825 0.860
H 0.036 0.731 0.305
H 0.964 0.269 0.695
H 0.659 0.695 0.036
O 0.319 0.171 0.505
H 0.818 0.361 0.459
Ga 0.500 0.000 0.000
O 0.827 0.140 0.685
Ga 0.000 0.500 0.000
O 0.681 0.829 0.495
H 0.458 0.180 0.361
O 0.173 0.860 0.315
O 0.147 0.323 0.171
O 0.687 0.175 0.140
O 0.176 0.495 0.677
O 0.488 0.315 0.825
O 0.853 0.677 0.829
O 0.512 0.685 0.175
H 0.696 0.036 0.269
H 0.182 0.639 0.541
H 0.723 0.541 0.820
Ga 0.500 0.500 0.500
H 0.341 0.305 0.964
H 0.542 0.820 0.639
O 0.824 0.505 0.323
Ga 0.000 0.000 0.500
H 0.277 0.459 0.180